No. 1
{
  "formula": "KAlPbO2",
  "functional": "SCAN",
  "state": "PBEsol geometry",
  "sg": "P4/mmm",
  "formation_energy_uncorrected_kj_per_mol_fu": 362,
  "vol_a3_per_cell": 119,
  "energy_ev_per_atom": -20.1143,
  "m_tot_mub_per_cell": 2.04,
  "cell": [[4.5528, 0.0000, 0.0000], [0.0000, 4.5528, 0.0000], [0.0000, 0.0000, 5.7499]],
  "species": ["K", "Al", "Pb", "O", "O"],
  "fractional_positions": [[0.0000, 0.0000, 0.0000], [0.5000, 0.5000, 0.5000], [0.0000, 0.0000, 0.5000], [0.0000, 0.5000, 0.0000], [0.5000, 0.0000, 0.0000]]
}

=====

No. 2
{
  "formula": "CdAg2Pb2",
  "functional": "SCAN",
  "state": "PBEsol geometry",
  "formation_enthalpy_0k_ev_per_atom": 0.100,
  "sg": "P4/mbm",
  "vol_a3_per_cell": 231,
  "energy_ev_per_atom": -48.8426,
  "m_tot_mub_per_cell": 0.00,
  "cell": [[7.2858, 0.0000, 0.0000], [0.0000, 7.2858, 0.0000], [0.0000, 0.0000, 4.3465]],
  "species": ["Cd", "Cd", "Ag", "Ag", "Ag", "Ag", "Pb", "Pb", "Pb", "Pb"],
  "fractional_positions": [[0.0000, 0.0000, 0.0000], [0.5000, 0.5000, 0.0000], [0.1353, 0.3647, 0.0000], [0.3647, 0.8647, 0.0000], [0.6353, 0.1353, 0.0000], [0.8647, 0.6353, 0.0000], [0.1668, 0.6668, 0.5000], [0.3332, 0.1668, 0.5000], [0.6668, 0.8332, 0.5000], [0.8332, 0.3332, 0.5000]]
}

=====

No. 3
{
  "formula": "Ba2NaSn2",
  "functional": "SCAN",
  "state": "PBEsol geometry",
  "formation_enthalpy_0k_ev_per_atom": -0.573,
  "sg": "P4/mbm",
  "vol_a3_per_cell": 381,
  "energy_ev_per_atom": -31.6048,
  "m_tot_mub_per_cell": 0.00,
  "cell": [[8.7859, 0.0000, 0.0000], [0.0000, 8.7859, 0.0000], [0.0000, 0.0000, 4.9372]],
  "species": ["Ba", "Ba", "Ba", "Ba", "Na", "Na", "Sn", "Sn", "Sn", "Sn"],
  "fractional_positions": [[0.1721, 0.3279, 0.0000], [0.3279, 0.8279, 0.0000], [0.6721, 0.1721, 0.0000], [0.8279, 0.6721, 0.0000], [0.0000, 0.0000, 0.5000], [0.5000, 0.5000, 0.5000], [0.1182, 0.6182, 0.5000], [0.3818, 0.1182, 0.5000], [0.6182, 0.8818, 0.5000], [0.8818, 0.3818, 0.5000]]
}

=====

No. 4
{
  "formula": "KHf3Ni",
  "functional": "SCAN",
  "state": "PBEsol geometry",
  "formation_enthalpy_0k_ev_per_atom": 0.665,
  "sg": "Pm-3m",
  "vol_a3_per_cell": 120,
  "energy_ev_per_atom": -41.8395,
  "m_tot_mub_per_cell": 0.00,
  "cell": [[4.9263, 0.0000, 0.0000], [0.0000, 4.9263, 0.0000], [0.0000, 0.0000, 4.9263]],
  "species": ["K", "Hf", "Hf", "Hf", "Ni"],
  "fractional_positions": [[0.0000, 0.0000, 0.0000], [0.0000, 0.5000, 0.5000], [0.5000, 0.0000, 0.5000], [0.5000, 0.5000, 0.0000], [0.5000, 0.5000, 0.5000]]
}

=====

No. 5
{
  "formula": "BaTc2W",
  "functional": "SCAN",
  "state": "PBEsol geometry",
  "formation_enthalpy_0k_ev_per_atom": 0.919,
  "sg": "P4mm",
  "vol_a3_per_cell": 77,
  "energy_ev_per_atom": -43.9201,
  "m_tot_mub_per_cell": 0.00,
  "cell": [[2.9300, 0.0000, 0.0000], [0.0000, 2.9300, 0.0000], [0.0000, 0.0000, 8.9212]],
  "species": ["Ba", "Tc", "Tc", "W"],
  "fractional_positions": [[0.0000, 0.0000, 0.0000], [0.0000, 0.0000, 0.4683], [0.5000, 0.5000, 0.3030], [0.5000, 0.5000, 0.6795]]
}

=====

No. 6
{
  "formula": "SrLiCl2",
  "functional": "SCAN",
  "state": "PBEsol geometry",
  "sg": "Cmm2",
  "formation_energy_uncorrected_kj_per_mol_fu": -694,
  "vol_a3_per_cell": 123,
  "energy_ev_per_atom": -11.9525,
  "m_tot_mub_per_cell": 0.22,
  "cell": [[2.1203, -3.6126, 0.0000], [2.1203, 3.6126, 0.0000], [0.0000, 0.0000, 8.0219]],
  "species": ["Sr", "Li", "Cl", "Cl"],
  "fractional_positions": [[0.0000, 0.0000, 0.0000], [0.5000, 0.5000, 0.5328], [0.0000, 0.0000, 0.6456], [0.5000, 0.5000, 0.2453]]
}

=====

No. 7
{
  "formula": "Li5NbO5",
  "functional": "SCAN",
  "state": "PBEsol geometry",
  "sg": "C2/m",
  "formation_energy_uncorrected_kj_per_mol_fu": -2573,
  "vol_a3_per_cell": 107,
  "energy_ev_per_atom": -9.3545,
  "m_tot_mub_per_cell": 0.00,
  "cell": [[4.8320, -2.0166, 0.0000], [4.8320, 2.0166, 0.0000], [-1.8671, 0.0000, 5.4859]],
  "species": ["Li", "Li", "Li", "Li", "Li", "Nb", "O", "O", "O", "O", "O"],
  "fractional_positions": [[0.0000, 0.0000, 0.0000], [0.2894, 0.2894, 0.1568], [0.3095, 0.3095, 0.6389], [0.6905, 0.6905, 0.3611], [0.7106, 0.7106, 0.8432], [0.0000, 0.0000, 0.5000], [0.1476, 0.1476, 0.3254], [0.1589, 0.1589, 0.8205], [0.5000, 0.5000, 0.5000], [0.8411, 0.8411, 0.1795], [0.8524, 0.8524, 0.6746]]
}

=====

No. 8
{
  "formula": "Cd2Sn2Bi",
  "functional": "SCAN",
  "state": "PBEsol geometry",
  "formation_enthalpy_0k_ev_per_atom": 0.211,
  "sg": "I4/mmm",
  "vol_a3_per_cell": 133,
  "energy_ev_per_atom": -42.0392,
  "m_tot_mub_per_cell": 0.00,
  "cell": [[-2.2202, 2.2202, 6.7314], [2.2202, -2.2202, 6.7314], [2.2202, 2.2202, -6.7314]],
  "species": ["Cd", "Cd", "Sn", "Sn", "Bi"],
  "fractional_positions": [[0.0996, 0.0996, 0.0000], [0.9004, 0.9004, 0.0000], [0.2500, 0.7500, 0.5000], [0.7500, 0.2500, 0.5000], [0.5000, 0.5000, 0.0000]]
}